Record 1
Ba3Pr2DySe6: optimized geometry, PBE-GGA.

Geometry as extended XYZ:
```
12
Lattice="3.795 -6.565 0.000 3.795 6.565 0.000 -2.533 0.000 7.418" Properties=species:S:1:pos:R:3 pbc="T T T"
Ba 0.000 0.000 0.000
Ba 3.795 2.230 0.000
Ba 3.795 -2.230 0.000
Pr 2.529 4.390 3.709
Pr 2.529 -4.390 3.709
Dy 2.529 0.000 3.709
Se 1.305 2.122 2.084
Se 0.079 0.000 5.357
Se 1.305 -2.122 2.084
Se 3.753 2.122 5.334
Se 4.979 0.000 2.061
Se 3.753 -2.122 5.334
```

* DOS(E_F): 4.85 states/eV/f.u.
* E: -5.31 eV/atom
* symmetry: No. 12
* ΔE_f (raw): -1.904 eV/atom

Record 2
Ag2GeAu2: optimized geometry, PBE-GGA.

Geometry as extended XYZ:
```
10
Lattice="8.145 0.000 0.000 0.000 8.145 0.000 0.000 0.000 2.937" Properties=species:S:1:pos:R:3 pbc="T T T"
Ag 1.021 3.051 0.000
Ag 3.051 7.123 0.000
Ag 5.094 1.021 0.000
Ag 7.123 5.094 0.000
Ge 0.000 0.000 0.000
Ge 4.072 4.072 0.000
Au 1.395 5.467 1.468
Au 2.677 1.395 1.468
Au 5.467 6.750 1.468
Au 6.750 2.677 1.468
```

* DOS(E_F): 2.61 states/eV/f.u.
* E: -3.23 eV/atom
* symmetry: No. 127
* formation energy: 0.143 eV per atom

Record 3
Li3B4C4: optimized geometry, PBE-GGA.

Geometry as extended XYZ:
```
22
Lattice="2.727 0.000 0.000 0.000 14.278 0.000 0.000 0.000 4.726" Properties=species:S:1:pos:R:3 pbc="T T T"
Li 0.000 1.800 0.000
Li 0.000 5.322 4.676
Li 0.000 8.956 4.676
Li 0.000 12.478 0.000
Li 1.364 1.804 2.358
Li 1.364 12.473 2.358
B 0.000 0.000 3.149
B 0.000 3.578 1.583
B 0.000 7.139 3.080
B 0.000 10.700 1.583
B 1.364 0.000 0.784
B 1.364 3.524 3.926
B 1.364 7.139 0.746
B 1.364 10.753 3.926
C 0.000 0.000 1.582
C 0.000 3.495 3.145
C 0.000 7.139 1.532
C 0.000 10.783 3.145
C 1.364 0.000 3.945
C 1.364 3.541 0.778
C 1.364 7.139 3.907
C 1.364 10.737 0.778
```

* DOS(E_F): 1.62 states/eV/f.u.
* E: -6.53 eV/atom
* symmetry: No. 25
* formation energy: -0.224 eV per atom

Record 4
Na2Ta2RhSe6: optimized geometry, PBE-GGA.

Geometry as extended XYZ:
```
11
Lattice="3.099 -5.564 0.000 3.099 5.564 0.000 -1.735 0.000 7.387" Properties=species:S:1:pos:R:3 pbc="T T T"
Na 3.099 3.575 0.000
Na 3.099 -3.575 0.000
Ta 2.231 1.474 3.693
Ta 2.231 -1.474 3.693
Rh -0.867 0.000 3.693
Se 0.121 1.939 5.112
Se 1.120 0.000 1.932
Se 0.121 -1.939 5.112
Se 4.342 1.939 2.275
Se 3.343 0.000 5.455
Se 4.342 -1.939 2.275
```

* DOS(E_F): 5.90 states/eV/f.u.
* E: -5.71 eV/atom
* symmetry: No. 12
* ΔE_f (raw): -0.748 eV/atom

Record 5
HfMgCd: optimized geometry, PBE-GGA.

Geometry as extended XYZ:
```
6
Lattice="3.174 0.000 0.000 1.586 5.509 0.000 0.009 2.121 7.452" Properties=species:S:1:pos:R:3 pbc="T T T"
Hf 0.000 0.000 0.000
Hf 1.587 2.465 0.546
Mg 1.592 3.256 4.982
Mg 3.173 4.460 2.492
Cd 3.186 5.761 5.481
Cd 3.176 1.451 3.016
```

* DOS(E_F): 2.16 states/eV/f.u.
* E: -4.14 eV/atom
* symmetry: No. 1
* formation energy: 0.016 eV per atom

Record 6
La5NdSm5: optimized geometry, PBE-GGA.

Geometry as extended XYZ:
```
11
Lattice="9.658 -3.080 0.000 9.658 3.080 0.000 -2.617 0.000 6.664" Properties=species:S:1:pos:R:3 pbc="T T T"
La 0.000 0.000 0.000
La 6.106 0.000 0.458
La 4.754 0.000 3.880
La 11.945 0.000 2.784
La 10.593 0.000 6.206
Nd 9.658 0.000 0.000
Sm 0.759 0.000 4.172
Sm 2.821 0.000 1.138
Sm 8.349 0.000 3.332
Sm 13.877 0.000 5.526
Sm 15.940 0.000 2.492
```

* DOS(E_F): 19.50 states/eV/f.u.
* E: -4.60 eV/atom
* symmetry: No. 12
* formation energy: 0.219 eV per atom

Record 7
Be3Ag5: optimized geometry, PBE-GGA.

Geometry as extended XYZ:
```
16
Lattice="7.073 0.000 0.000 -3.536 6.125 0.000 0.000 0.000 5.274" Properties=species:S:1:pos:R:3 pbc="T T T"
Be -1.433 2.481 1.319
Be -2.104 3.644 3.956
Be 2.865 0.000 1.319
Be 1.433 2.481 3.956
Be 4.207 0.000 3.956
Be 2.104 3.644 1.319
Ag -0.860 1.490 3.956
Ag -2.676 4.635 1.319
Ag 1.720 0.000 3.956
Ag 0.860 1.490 1.319
Ag 0.000 4.083 0.000
Ag 0.000 4.083 2.637
Ag 3.536 2.042 0.000
Ag 3.536 2.042 2.637
Ag 5.353 0.000 1.319
Ag 2.676 4.635 3.956
```

* DOS(E_F): 2.66 states/eV/f.u.
* E: -3.00 eV/atom
* symmetry: No. 193
* formation energy: 0.176 eV per atom

Record 8
BeAsCCl: optimized geometry, PBE-GGA.

Geometry as extended XYZ:
```
4
Lattice="3.263 0.000 0.000 -0.722 4.084 0.000 -1.607 -1.133 6.465" Properties=species:S:1:pos:R:3 pbc="T T T"
Be 0.000 0.000 0.000
As 0.204 1.093 5.352
C -0.027 -0.421 6.444
Cl 2.292 0.629 1.746
```

* DOS(E_F): 1.25 states/eV/f.u.
* E: -4.41 eV/atom
* symmetry: No. 1
* ΔE_f (raw): 0.448 eV/atom

Record 9
Rb2LiCo2: optimized geometry, PBE-GGA.

Geometry as extended XYZ:
```
5
Lattice="-1.703 1.703 12.707 1.703 -1.703 12.707 1.703 1.703 -12.707" Properties=species:S:1:pos:R:3 pbc="T T T"
Rb 0.000 0.000 3.420
Rb 0.000 0.000 21.993
Li 0.000 0.000 12.707
Co 1.703 0.000 6.353
Co 0.000 1.703 6.353
```

* DOS(E_F): 4.75 states/eV/f.u.
* E: -2.95 eV/atom
* symmetry: No. 139
* formation energy: 0.660 eV per atom

Record 10
Ho2GeBPt6: optimized geometry, PBE-GGA.

Geometry as extended XYZ:
```
20
Lattice="5.672 0.000 0.000 0.000 8.586 0.000 0.000 0.000 7.345" Properties=species:S:1:pos:R:3 pbc="T T T"
Ho 1.418 0.276 1.632
Ho 1.418 4.017 1.632
Ho 4.254 4.569 5.713
Ho 4.254 8.309 5.713
Ge 1.418 6.439 5.979
Ge 4.254 2.146 1.365
B 1.418 2.146 5.147
B 4.254 6.439 2.198
Pt 0.014 2.146 6.720
Pt 0.038 6.439 3.725
Pt 1.418 0.034 4.777
Pt 1.418 4.259 4.777
Pt 2.798 6.439 3.725
Pt 2.822 2.146 6.720
Pt 2.851 6.439 0.625
Pt 2.874 2.146 3.619
Pt 4.254 4.327 2.568
Pt 4.254 8.552 2.568
Pt 5.634 2.146 3.619
Pt 5.658 6.439 0.625
```

* DOS(E_F): 2.69 states/eV/f.u.
* E: -6.55 eV/atom
* symmetry: No. 59
* formation energy: -0.884 eV per atom

Record 11
Dy8SiTe4Se3: optimized geometry, PBE-GGA.

Geometry as extended XYZ:
```
16
Lattice="4.185 2.416 7.056 -4.185 2.416 7.056 0.000 -4.833 7.056" Properties=species:S:1:pos:R:3 pbc="T T T"
Dy 0.000 0.000 5.060
Dy -2.031 -1.172 12.105
Dy 0.000 -2.345 9.062
Dy -2.031 1.172 9.062
Dy 2.031 -1.172 12.105
Dy 0.000 2.345 12.105
Dy 2.031 1.172 9.062
Dy 0.000 0.000 16.107
Si 0.000 0.000 10.583
Te 0.000 0.000 0.000
Te -2.093 -1.208 7.056
Te -2.093 1.208 14.111
Te 0.000 2.416 7.056
Se -4.185 0.000 10.583
Se -2.093 1.208 3.528
Se 2.093 1.208 3.528
```

* DOS(E_F): 5.53 states/eV/f.u.
* E: -5.54 eV/atom
* symmetry: No. 166
* ΔE_f (raw): -1.465 eV/atom

Record 12
ErTlAgSe2: optimized geometry, PBE-GGA.

Geometry as extended XYZ:
```
10
Lattice="6.738 0.000 0.000 0.000 5.999 0.000 -1.843 0.000 7.352" Properties=species:S:1:pos:R:3 pbc="T T T"
Er -0.461 0.126 1.838
Er -1.382 5.874 5.514
Tl 2.908 1.884 1.838
Tl 1.987 4.116 5.514
Ag 0.000 3.000 0.000
Ag -0.921 3.000 3.676
Se 0.696 1.077 4.176
Se 1.618 4.922 0.500
Se 3.277 1.077 6.852
Se 4.198 4.922 3.176
```

* DOS(E_F): 1.70 states/eV/f.u.
* E: -4.09 eV/atom
* symmetry: No. 13
* ΔE_f (raw): -0.742 eV/atom